AlGeW: PBEsol geometry, SCAN.

## Properties
Density of states at the Fermi level ... 0.476 states/eV per atom
Energy of formation from the pure elements ... -71 meV per atom
V ... 88.8 Å³/cell

Lattice parameters (Å, degrees): 4.8185 4.8201 5.0297 76.15 61.38 60.01
Element x y z (fractional)
W: 0.3135 0.3730 0.0000
W: 0.5635 0.8730 0.5000
Ge: 0.9010 0.1980 0.5000
Ge: 0.6510 0.6980 0.0000
Al: 0.9756 0.0487 0.0000
Al: 0.2256 0.5487 0.5000